Record 1
{
  "formula": "Rb2HoCu2O4",
  "functional": "GGA-PBE",
  "state": "relaxed",
  "lattice_angstrom": [[6.748, -1.730, 0.000], [6.748, 1.730, 0.000], [-1.975, 0.000, 6.357]],
  "species": ["Rb", "Rb", "Ho", "Cu", "Cu", "O", "O", "O", "O"],
  "fractional_positions": [[0.129, 0.129, 0.054], [0.871, 0.871, 0.946], [0.000, 0.000, 0.500], [0.319, 0.319, 0.472], [0.681, 0.681, 0.528], [0.184, 0.184, 0.659], [0.469, 0.469, 0.699], [0.531, 0.531, 0.301], [0.816, 0.816, 0.341]],
  "total_energy_ev_per_atom": -5.349,
  "spacegroup": "C2/m (12)",
  "formation_energy_uncorrected_ev_per_atom": -1.5117,
  "dos_ef_per_ev_fu": 4.6,
  "magmom_total_mub_per_fu": 0.82
}

Record 2
{
  "formula": "AlCr5",
  "functional": "GGA-PBE",
  "state": "relaxed",
  "lattice_angstrom": [[4.403, 0.000, 0.000], [-2.201, 3.813, 0.000], [0.000, 0.000, 4.385]],
  "species": ["Al", "Cr", "Cr", "Cr", "Cr", "Cr"],
  "fractional_positions": [[0.000, 0.000, 0.000], [0.000, 0.662, 0.500], [0.333, 0.667, 0.000], [0.338, 0.338, 0.500], [0.662, 0.000, 0.500], [0.667, 0.333, 0.000]],
  "total_energy_ev_per_atom": -8.387,
  "spacegroup": "P-62m (189)",
  "dos_ef_per_ev_fu": 10.3,
  "magmom_total_mub_per_fu": 0.00,
  "de_polymorph_ev_per_atom": 0.306
}

Record 3
{
  "formula": "PmHoIn",
  "functional": "GGA-PBE",
  "state": "relaxed",
  "lattice_angstrom": [[-1.749, 1.749, 14.856], [1.749, -1.749, 14.856], [1.749, 1.749, -14.856]],
  "species": ["Pm", "Pm", "Ho", "Ho", "In", "In"],
  "fractional_positions": [[0.061, 0.061, 0.000], [0.939, 0.939, 0.000], [0.206, 0.206, 0.000], [0.794, 0.794, 0.000], [0.367, 0.367, 0.000], [0.633, 0.633, 0.000]],
  "total_energy_ev_per_atom": -4.247,
  "spacegroup": "I4/mmm (139)",
  "dos_ef_per_ev_fu": 2.8,
  "magmom_total_mub_per_fu": 0.00,
  "de_polymorph_ev_per_atom": 0.121
}

Record 4
{
  "formula": "KMn3I",
  "functional": "GGA-PBE",
  "state": "relaxed",
  "lattice_angstrom": [[6.006, 0.000, 0.000], [0.000, 6.006, 0.000], [0.000, 0.000, 6.006]],
  "species": ["K", "Mn", "Mn", "Mn", "I"],
  "fractional_positions": [[0.000, 0.000, 0.000], [0.000, 0.000, 0.500], [0.000, 0.500, 0.000], [0.500, 0.000, 0.000], [0.500, 0.500, 0.500]],
  "total_energy_ev_per_atom": -4.182,
  "spacegroup": "Pm-3m (221)",
  "formation_energy_uncorrected_ev_per_atom": 1.8496,
  "dos_ef_per_ev_fu": 2.7,
  "magmom_total_mub_per_fu": 15.00,
  "de_polymorph_ev_per_atom": 0.569
}

Record 5
{
  "formula": "MgBi2P",
  "functional": "GGA-PBE",
  "state": "relaxed",
  "lattice_angstrom": [[-3.272, 3.272, 6.612], [3.272, -3.272, 6.612], [3.272, 3.272, -6.612]],
  "species": ["Mg", "Mg", "Bi", "Bi", "Bi", "Bi", "P", "P"],
  "fractional_positions": [[0.000, 0.000, 0.000], [0.750, 0.250, 0.500], [0.148, 0.625, 0.023], [0.375, 0.398, 0.523], [0.602, 0.125, 0.977], [0.875, 0.852, 0.477], [0.250, 0.750, 0.500], [0.500, 0.500, 0.000]],
  "total_energy_ev_per_atom": -3.449,
  "spacegroup": "I-42d (122)",
  "dos_ef_per_ev_fu": 3.6,
  "magmom_total_mub_per_fu": 0.00,
  "de_polymorph_ev_per_atom": 0.000
}

Record 6
{
  "formula": "HfTc2Os2",
  "functional": "GGA-PBE",
  "state": "relaxed",
  "lattice_angstrom": [[7.595, 0.000, 0.000], [0.000, 7.595, 0.000], [0.000, 0.000, 2.785]],
  "species": ["Hf", "Hf", "Tc", "Tc", "Tc", "Tc", "Os", "Os", "Os", "Os"],
  "fractional_positions": [[0.000, 0.000, 0.000], [0.500, 0.500, 0.000], [0.122, 0.378, 0.000], [0.378, 0.878, 0.000], [0.622, 0.122, 0.000], [0.878, 0.622, 0.000], [0.172, 0.672, 0.500], [0.328, 0.172, 0.500], [0.672, 0.828, 0.500], [0.828, 0.328, 0.500]],
  "total_energy_ev_per_atom": -10.641,
  "spacegroup": "P4/mbm (127)",
  "dos_ef_per_ev_fu": 4.3,
  "magmom_total_mub_per_fu": 0.00,
  "de_polymorph_ev_per_atom": 0.016
}